A relaxed structure of Rb2CdPb. Source: Alexandria, functional GGA-PBE.

a b c (Å): 6.7752 6.7752 3.7641
angles (deg): 90.00 90.00 90.00
Atoms (fractional coordinates):
1 Rb 0.0000 0.5000 0.0000
2 Rb 0.5000 0.0000 0.0000
3 Cd 0.0000 0.0000 0.5000
4 Pb 0.5000 0.5000 0.5000

Computed properties:
Energy of formation from the pure elements   0.056 eV per atom
Space group   P4/mmm (123)
E   -6.34 eV for the cell shown